The following is a PBE calculation of crystalline Ta2ReCl at its relaxed geometry, from Alexandria.

Values from the calculation:
- Raw formation energy: 336 meV per atom
- Total energy: -36.7 eV/cell
- N(E_F): 0.59 states/eV per atom
- Space group: Pm
- Magnetic moment: 0.000 μB/cell
- ρ: 14.17 g/cm³
- Crystal system: monoclinic
- Relative energy among the computed polymorphs: 439 meV per atom

Lattice parameters (Å, degrees): 2.8723 4.5933 5.2842 90.00 101.22 90.00
Last column: nearest neighbours and their distance in Å.
Fractional positions:
1 Ta 0.0000 0.0000 0.0000  2 Re 2.60-2.91, 2 Cl 2.75, 2 Ta 2.87
2 Ta 0.2821 0.5000 0.7263  1 Cl 2.49, 2 Re 2.73
3 Re 0.5609 0.0000 0.5209  4 Ta 2.60-2.91, 2 Cl 2.82, 2 Re 2.87
4 Cl 0.4429 0.5000 0.2060  3 Ta 2.49-2.75


The following is a PBE calculation of crystalline TaRe2Cl at its relaxed geometry, from Alexandria.

Values from the calculation:
- Raw formation energy: 480 meV per atom
- Total energy: -73.3 eV/cell
- N(E_F): 0.36 states/eV per atom
- Space group: Cm
- Magnetic moment: 0.000 μB/cell
- ρ: 14.08 g/cm³
- Crystal system: monoclinic
- Relative energy among the computed polymorphs: 367 meV per atom

Lattice parameters (Å, degrees): 8.5910 2.9675 5.5114 90.00 98.81 90.00
Last column: nearest neighbours and their distance in Å.
Fractional positions:
1 Ta 0.0000 0.0000 0.0000  3 Cl 2.49-2.50, 2 Re 2.67
2 Ta 0.5000 0.5000 0.0000  3 Cl 2.49-2.50, 2 Re 2.67
3 Re 0.1749 0.5000 0.3410  1 Re 2.35
4 Re 0.4447 0.0000 0.5235  1 Re 2.35
5 Re 0.6749 0.0000 0.3410  1 Re 2.35
6 Re 0.9447 0.5000 0.5235  1 Re 2.35
7 Cl 0.2682 0.0000 0.8781  3 Ta 2.49-2.50, 1 Re 2.65
8 Cl 0.7682 0.5000 0.8781  3 Ta 2.49-2.50, 1 Re 2.65


The following is a PBE calculation of crystalline Ta2ReCl at its relaxed geometry, from Alexandria.

Values from the calculation:
- Raw formation energy: 294 meV per atom
- Total energy: -36.8 eV/cell
- N(E_F): 0.65 states/eV per atom
- Space group: P4mm
- Magnetic moment: 0.000 μB/cell
- ρ: 12.24 g/cm³
- Crystal system: tetragonal
- Relative energy among the computed polymorphs: 398 meV per atom

Lattice parameters (Å, degrees): 3.1585 3.1585 7.9340 90.00 90.00 90.00
Last column: nearest neighbours and their distance in Å.
Fractional positions:
1 Ta 0.0000 0.0000 0.0000  4 Re 2.61, 4 Ta 2.90
2 Ta 0.5000 0.5000 0.2329  4 Cl 2.85, 8 Ta 2.90-3.16, 1 Re 3.19
3 Re 0.5000 0.5000 0.8309  4 Ta 2.61
4 Cl 0.0000 0.0000 0.4571  4 Ta 2.85, 4 Cl 3.16